The following is a PBE-GGA calculation of a geometry-optimized Zr3C2N structure, from Alexandria via LeMat-Bulk.

Properties
The space group is No. 15. The value obtained for the theoretical density is 6.7 g/cm³. The energy above the lowest structure with this stoichiometry is 0 meV/atom. The value obtained for the uncorrected formation energy is -1.146 eV per atom.

Unit cell a=5.747 b=5.747 c=5.746 alpha=99.62 beta=99.62 gamma=120.04
Positions (direct):
Zr  0.000  0.500  0.500
Zr  0.165  0.333  0.001
Zr  0.333  0.165  0.501
Zr  0.500  0.000  0.000
Zr  0.667  0.835  0.499
Zr  0.835  0.667  0.999
C  0.084  0.916  0.750
C  0.250  0.750  0.250
C  0.750  0.250  0.750
C  0.916  0.084  0.250
N  0.415  0.585  0.750
N  0.585  0.415  0.250

***

The following is a PBE-GGA calculation of a geometry-optimized Zr2CN structure, from Alexandria via LeMat-Bulk.

Properties
The space group is No. 15. The value obtained for the theoretical density is 6.8 g/cm³. The energy above the lowest structure with this stoichiometry is 0 meV/atom. The value obtained for the uncorrected formation energy is -1.291 eV per atom.

Unit cell a=7.389 b=7.389 c=5.723 alpha=104.91 beta=104.91 gamma=126.94
Positions (direct):
Zr  0.060  0.435  0.746
Zr  0.184  0.309  0.246
Zr  0.309  0.184  0.746
Zr  0.435  0.060  0.246
Zr  0.565  0.940  0.754
Zr  0.691  0.816  0.254
Zr  0.816  0.691  0.754
Zr  0.940  0.565  0.254
C  0.062  0.938  0.250
C  0.187  0.813  0.750
C  0.813  0.187  0.250
C  0.938  0.062  0.750
N  0.312  0.688  0.250
N  0.437  0.563  0.750
N  0.563  0.437  0.250
N  0.688  0.312  0.750

***

The following is a PBE-GGA calculation of a geometry-optimized Zr4CN3 structure, from Alexandria via LeMat-Bulk.

Properties
The space group is No. 166. The value obtained for the theoretical density is 6.9 g/cm³. The energy above the lowest structure with this stoichiometry is 15 meV/atom. The value obtained for the uncorrected formation energy is -1.494 eV per atom.

Unit cell a=10.868 b=10.868 c=10.868 alpha=17.40 beta=17.40 gamma=17.40
Positions (direct):
Zr  0.125  0.125  0.125
Zr  0.374  0.374  0.374
Zr  0.626  0.626  0.626
Zr  0.875  0.875  0.875
C  0.500  0.500  0.500
N  0.000  0.000  0.000
N  0.251  0.251  0.251
N  0.749  0.749  0.749

***

The following is a PBE-GGA calculation of a geometry-optimized Zr3CN2 structure, from Alexandria via LeMat-Bulk.

Properties
The space group is No. 15. The value obtained for the theoretical density is 6.9 g/cm³. The energy above the lowest structure with this stoichiometry is 5 meV/atom. The value obtained for the uncorrected formation energy is -1.433 eV per atom.

Unit cell a=5.697 b=5.697 c=5.712 alpha=99.70 beta=99.70 gamma=119.92
Positions (direct):
Zr  0.000  0.500  0.500
Zr  0.165  0.329  0.003
Zr  0.329  0.165  0.503
Zr  0.500  0.000  0.000
Zr  0.671  0.835  0.497
Zr  0.835  0.671  0.997
C  0.082  0.918  0.750
C  0.918  0.082  0.250
N  0.249  0.751  0.250
N  0.417  0.583  0.750
N  0.583  0.417  0.250
N  0.751  0.249  0.750

***

The following is a PBE-GGA calculation of a geometry-optimized Zr2CN structure, from Alexandria via LeMat-Bulk.

Properties
The space group is No. 225. The value obtained for the theoretical density is 7.1 g/cm³. The energy above the lowest structure with this stoichiometry is 1133 meV/atom. The value obtained for the uncorrected formation energy is -0.158 eV per atom.

Unit cell a=4.099 b=4.099 c=4.099 alpha=60.00 beta=60.00 gamma=60.00
Positions (direct):
Zr  0.250  0.250  0.250
Zr  0.750  0.750  0.750
C  0.000  0.000  0.000
N  0.500  0.500  0.500

***

The following is a PBE-GGA calculation of a geometry-optimized Zr3C2N structure, from Alexandria via LeMat-Bulk.

Properties
The space group is No. 139. The value obtained for the theoretical density is 6.7 g/cm³. The energy above the lowest structure with this stoichiometry is 13 meV/atom. The value obtained for the uncorrected formation energy is -1.133 eV per atom.

Unit cell a=7.422 b=7.422 c=7.422 alpha=154.20 beta=154.20 gamma=36.81
Positions (direct):
Zr  0.000  0.000  0.000
Zr  0.333  0.333  0.000
Zr  0.667  0.667  0.000
C  0.165  0.165  0.000
C  0.835  0.835  0.000
N  0.500  0.500  0.000

***

The following is a PBE-GGA calculation of a geometry-optimized Zr6CN3 structure, from Alexandria via LeMat-Bulk.

Properties
The space group is No. 146. The value obtained for the theoretical density is 6.7 g/cm³. The value obtained for the uncorrected formation energy is -1.192 eV per atom.

Unit cell a=6.231 b=6.231 c=6.231 alpha=54.49 beta=54.49 gamma=54.49
Positions (direct):
Zr  0.000  0.674  0.326
Zr  0.174  0.503  0.821
Zr  0.326  0.000  0.674
Zr  0.503  0.821  0.174
Zr  0.674  0.326  0.000
Zr  0.821  0.174  0.503
C  0.089  0.089  0.089
N  0.410  0.410  0.410
N  0.588  0.588  0.588
N  0.911  0.911  0.911

***

The following is a PBE-GGA calculation of a geometry-optimized ZrCN3 structure, from Alexandria via LeMat-Bulk.

Properties
The space group is No. 221. The value obtained for the theoretical density is 3.1 g/cm³. The value obtained for the uncorrected formation energy is 2.355 eV per atom.

Unit cell a=4.256 b=4.256 c=4.256 alpha=90.00 beta=90.00 gamma=90.00
Positions (direct):
Zr  0.000  0.000  0.000
C  0.500  0.500  0.500
N  0.000  0.000  0.500
N  0.000  0.500  0.000
N  0.500  0.000  0.000

***

The following is a PBE-GGA calculation of a geometry-optimized Zr2CN structure, from Alexandria via LeMat-Bulk.

Properties
The space group is No. 160. The value obtained for the theoretical density is 6.6 g/cm³. The energy above the lowest structure with this stoichiometry is 237 meV/atom. The value obtained for the uncorrected formation energy is -1.054 eV per atom.

Unit cell a=5.978 b=5.978 c=5.978 alpha=31.62 beta=31.62 gamma=31.62
Positions (direct):
Zr  0.000  0.000  0.000
Zr  0.176  0.176  0.176
C  0.590  0.590  0.590
N  0.419  0.419  0.419

***

The following is a PBE-GGA calculation of a geometry-optimized Zr8C4N3 structure, from Alexandria via LeMat-Bulk.

Properties
The space group is No. 12. The value obtained for the theoretical density is 6.6 g/cm³. The value obtained for the uncorrected formation energy is -1.175 eV per atom.

Unit cell a=6.613 b=6.613 c=6.614 alpha=119.93 beta=119.93 gamma=90.08
Positions (direct):
Zr  0.243  0.243  0.486
Zr  0.244  0.244  0.999
Zr  0.244  0.756  0.000
Zr  0.252  0.748  0.500
Zr  0.748  0.252  0.500
Zr  0.756  0.244  0.000
Zr  0.756  0.756  0.001
Zr  0.757  0.757  0.514
C  0.000  0.000  0.000
C  0.000  0.500  0.000
C  0.500  0.000  0.000
C  0.500  0.500  0.500
N  0.000  0.000  0.500
N  0.000  0.500  0.500
N  0.500  0.000  0.500

***

The following is a PBE-GGA calculation of a geometry-optimized Zr4CN2 structure, from Alexandria via LeMat-Bulk.

Properties
The space group is No. 12. The value obtained for the theoretical density is 6.7 g/cm³. The energy above the lowest structure with this stoichiometry is 0 meV/atom. The value obtained for the uncorrected formation energy is -1.199 eV per atom.

Unit cell a=6.308 b=6.308 c=5.642 alpha=115.79 beta=115.79 gamma=30.26
Positions (direct):
Zr  0.128  0.128  0.473
Zr  0.370  0.370  0.043
Zr  0.630  0.630  0.957
Zr  0.872  0.872  0.527
C  0.500  0.500  0.500
N  0.239  0.239  0.234
N  0.761  0.761  0.766

***

The following is a PBE-GGA calculation of a geometry-optimized Zr3CN2 structure, from Alexandria via LeMat-Bulk.

Properties
The space group is No. 71. The value obtained for the theoretical density is 6.9 g/cm³. The energy above the lowest structure with this stoichiometry is 0 meV/atom. The value obtained for the uncorrected formation energy is -1.438 eV per atom.

Unit cell a=5.710 b=5.710 c=5.710 alpha=146.56 beta=131.97 gamma=59.79
Positions (direct):
Zr  0.000  0.000  0.000
Zr  0.336  0.336  0.000
Zr  0.664  0.664  0.000
C  0.500  0.000  0.500
N  0.166  0.666  0.500
N  0.834  0.334  0.500

***

The following is a PBE-GGA calculation of a geometry-optimized Zr4CN3 structure, from Alexandria via LeMat-Bulk.

Properties
The space group is No. 221. The value obtained for the theoretical density is 7.0 g/cm³. The energy above the lowest structure with this stoichiometry is 0 meV/atom. The value obtained for the uncorrected formation energy is -1.509 eV per atom.

Unit cell a=4.642 b=4.642 c=4.642 alpha=90.00 beta=90.00 gamma=90.00
Positions (direct):
Zr  0.000  0.000  0.000
Zr  0.000  0.500  0.500
Zr  0.500  0.000  0.500
Zr  0.500  0.500  0.000
C  0.500  0.500  0.500
N  0.000  0.000  0.500
N  0.000  0.500  0.000
N  0.500  0.000  0.000

***

The following is a PBE-GGA calculation of a geometry-optimized Zr6C3N2 structure, from Alexandria via LeMat-Bulk.

Properties
The space group is No. 162. The value obtained for the theoretical density is 6.6 g/cm³. The value obtained for the uncorrected formation energy is -0.986 eV per atom.

Unit cell a=5.672 b=5.672 c=5.540 alpha=90.00 beta=90.00 gamma=120.00
Positions (direct):
Zr  0.000  0.343  0.257
Zr  0.000  0.657  0.743
Zr  0.343  0.000  0.257
Zr  0.343  0.343  0.743
Zr  0.657  0.000  0.743
Zr  0.657  0.657  0.257
C  0.000  0.000  0.500
C  0.333  0.667  0.000
C  0.667  0.333  0.000
N  0.333  0.667  0.500
N  0.667  0.333  0.500

***

The following is a PBE-GGA calculation of a geometry-optimized Zr8CN6 structure, from Alexandria via LeMat-Bulk.

Properties
The space group is No. 147. The value obtained for the theoretical density is 6.6 g/cm³. The value obtained for the uncorrected formation energy is -1.023 eV per atom.

Unit cell a=8.536 b=8.536 c=3.289 alpha=90.00 beta=90.00 gamma=120.00
Positions (direct):
Zr  0.032  0.338  0.240
Zr  0.306  0.968  0.240
Zr  0.333  0.667  0.748
Zr  0.338  0.306  0.760
Zr  0.662  0.694  0.240
Zr  0.667  0.333  0.252
Zr  0.694  0.032  0.760
Zr  0.968  0.662  0.760
C  0.000  0.000  0.000
N  0.137  0.657  0.252
N  0.343  0.481  0.252
N  0.481  0.137  0.748
N  0.519  0.863  0.252
N  0.657  0.519  0.748
N  0.863  0.343  0.748

***

The following is a PBE-GGA calculation of a geometry-optimized ZrCN2 structure, from Alexandria via LeMat-Bulk.

Properties
The space group is No. 122. The value obtained for the theoretical density is 6.0 g/cm³. The value obtained for the uncorrected formation energy is 0.394 eV per atom.

Unit cell a=4.598 b=4.598 c=4.598 alpha=116.20 beta=116.20 gamma=96.72
Positions (direct):
Zr  0.000  0.000  0.000
Zr  0.750  0.250  0.500
C  0.250  0.750  0.500
C  0.500  0.500  0.000
N  0.256  0.125  0.631
N  0.375  0.744  0.869
N  0.494  0.625  0.369
N  0.875  0.506  0.131

***

The following is a PBE-GGA calculation of a geometry-optimized Zr5CN4 structure, from Alexandria via LeMat-Bulk.

Properties
The space group is No. 87. The value obtained for the theoretical density is 7.0 g/cm³. The value obtained for the uncorrected formation energy is -1.538 eV per atom.

Unit cell a=5.684 b=5.684 c=5.684 alpha=99.57 beta=99.57 gamma=131.87
Positions (direct):
Zr  0.000  0.000  0.000
Zr  0.202  0.598  0.800
Zr  0.402  0.202  0.605
Zr  0.598  0.798  0.395
Zr  0.798  0.402  0.200
C  0.500  0.500  0.000
N  0.101  0.300  0.401
N  0.300  0.899  0.200
N  0.700  0.101  0.800
N  0.899  0.700  0.599

***

The following is a PBE-GGA calculation of a geometry-optimized Na4C structure, from Alexandria via LeMat-Bulk.

Properties
The space group is No. 221. The value obtained for the theoretical density is 1.3 g/cm³. As for the energy of formation: 73.4 kJ per mole of atoms.

Unit cell a=5.065 b=5.065 c=5.065 alpha=90.00 beta=90.00 gamma=90.00
Positions (direct):
Na  0.000  0.000  0.000
Na  0.000  0.500  0.500
Na  0.500  0.000  0.500
Na  0.500  0.500  0.000
C  0.500  0.500  0.500

***

The following is a PBE-GGA calculation of a geometry-optimized Na3C structure, from Alexandria via LeMat-Bulk.

Properties
The space group is No. 225. The value obtained for the theoretical density is 1.8 g/cm³. As for the energy of formation: 102.3 kJ per mole of atoms.

Unit cell a=4.703 b=4.703 c=4.703 alpha=60.00 beta=60.00 gamma=60.00
Positions (direct):
Na  0.000  0.000  0.000
Na  0.250  0.250  0.250
Na  0.750  0.750  0.750
C  0.500  0.500  0.500

***

The following is a PBE-GGA calculation of a geometry-optimized Na2C structure, from Alexandria via LeMat-Bulk.

Properties
The space group is No. 225. The value obtained for the theoretical density is 1.6 g/cm³. As for the energy of formation: 122.5 kJ per mole of atoms.

Unit cell a=4.380 b=4.380 c=4.380 alpha=60.00 beta=60.00 gamma=60.00
Positions (direct):
Na  0.250  0.250  0.250
Na  0.750  0.750  0.750
C  0.000  0.000  0.000